Computed, not measured: a relaxed Zr2AlVSe crystal at the GGA-PBE level of DFT.

Output
N(E_F), states/eV per atom: 0.8332
Calculated density, g cm⁻³: 4.77
Final energy, eV per atom: -5.622
Formation energy without anion corrections, eV per atom: 1.066

CIF file:
```
data_Zr2AlVSe
_cell_length_a 5.078
_cell_length_b 5.078
_cell_length_c 4.579
_cell_angle_alpha 90.00
_cell_angle_beta 90.00
_cell_angle_gamma 90.00
_symmetry_space_group_name_H-M 'P 4/m m m'
_symmetry_Int_Tables_number 123
_symmetry_space_group_name_Hall '-P 4 2'
loop_
_atom_site_label
_atom_site_type_symbol
_atom_site_fract_x
_atom_site_fract_y
_atom_site_fract_z
Zr1 Zr 0.000 0.500 0.000
Al1 Al 0.000 0.000 0.000
V1 V 0.500 0.500 0.500
Se1 Se 0.000 0.000 0.500
```